1.
This record from Alexandria describes a relaxed LaCuBiS3 crystal. The functional is GGA-PBE.

Cell: 3.802 9.358 8.432 Å, 94.99 90.00 90.00°
Positions (direct):
La1 0.250 0.150 0.210
La2 0.750 0.850 0.790
Cu1 0.250 0.075 0.578
Cu2 0.750 0.925 0.422
Bi1 0.250 0.650 0.181
Bi2 0.750 0.350 0.819
S1 0.750 0.916 0.146
S2 0.250 0.084 0.854
S3 0.250 0.813 0.524
S4 0.750 0.187 0.476
S5 0.750 0.378 0.126
S6 0.250 0.622 0.874

Values from the calculation:
raw total energy = -5.1439 eV/atom
space group = P2_1/m (11)
spin magnetization = 0.00 Bohr magnetons per cell
energy relative to the elements, uncorrected = -5.6 eV per formula unit

---

2.
This record from Alexandria describes a relaxed LaCuBiSb2 crystal. The functional is GGA-PBE.

Cell: 5.146 5.367 5.146 Å, 90.00 90.00 90.00°
Positions (direct):
Sb1 0.000 0.000 0.500
Sb2 0.500 0.000 0.000
Bi1 0.000 0.500 0.000
Cu1 0.000 0.000 0.000
La1 0.500 0.500 0.500

Values from the calculation:
raw total energy = -4.4212 eV/atom
space group = P4/mmm (123)
spin magnetization = 0.00 Bohr magnetons per cell
energy relative to the elements, uncorrected = -1.0 eV per formula unit

---

3.
This record from Alexandria describes a relaxed LiCu2Bi2 crystal. The functional is GGA-PBE.

Cell: 5.028 5.028 5.882 Å, 64.70 64.70 90.00°
Positions (direct):
Bi1 0.750 0.250 0.500
Bi2 0.250 0.750 0.500
Cu1 0.371 0.371 0.257
Cu2 0.629 0.629 0.743
Li1 0.000 0.000 0.000

Values from the calculation:
energy of formation = 0.15 eV per atom
raw total energy = -3.4199 eV/atom
polymorph energy (0 for the lowest one) = 0.1880 eV per atom
space group = I4/mmm (139)
spin magnetization = 0.00 Bohr magnetons per cell

---

raw total energy of number 3 (LiCu2Bi2)?
-3.4199 eV/atom

---

Please write out number 2 again, unchanged.
This record from Alexandria describes a relaxed LaCuBiSb2 crystal. The functional is GGA-PBE.

Cell: 5.146 5.367 5.146 Å, 90.00 90.00 90.00°
Positions (direct):
Sb1 0.000 0.000 0.500
Sb2 0.500 0.000 0.000
Bi1 0.000 0.500 0.000
Cu1 0.000 0.000 0.000
La1 0.500 0.500 0.500

Values from the calculation:
raw total energy = -4.4212 eV/atom
space group = P4/mmm (123)
spin magnetization = 0.00 Bohr magnetons per cell
energy relative to the elements, uncorrected = -1.0 eV per formula unit

---

Number 2 is which compound?
LaCuBiSb2